Entry 1:
K3B12H12Br, relaxed, DFT PBE-GGA; space group = C2/m (12); energy above the most stable polymorph in this dataset = 17.25 kcal/mol of atoms; Fermi-level density of states = 0.86 states/eV per cell
1.0
7.363 4.513 1.381
-7.363 4.513 1.381
0.000 5.133 8.265
H B Br K
12 12 1 3
Direct
0.435 0.074 0.827
0.953 0.493 0.209
0.507 0.047 0.791
0.666 0.666 0.960
0.962 0.962 0.271
0.565 0.926 0.173
0.334 0.334 0.040
0.038 0.038 0.729
0.074 0.435 0.827
0.047 0.507 0.791
0.493 0.953 0.209
0.926 0.565 0.173
0.240 0.044 0.376
0.223 0.223 0.220
0.760 0.956 0.624
0.956 0.760 0.624
0.745 0.745 0.629
0.255 0.255 0.371
0.044 0.240 0.376
0.893 0.011 0.396
0.011 0.893 0.396
0.107 0.989 0.604
0.777 0.777 0.780
0.989 0.107 0.604
0.000 0.000 0.000
0.000 0.500 0.500
0.500 0.500 0.500
0.500 0.000 0.500

Entry 2:
ErPaTiAl, relaxed, DFT PBE-GGA; ΔH_f (0 K) = 0.111 eV per atom; space group = F-43m (216); Fermi-level density of states = 5.48 states/eV per cell
1.0
-3.648 -2.836 -1.798
-0.150 -1.073 -4.838
0.976 -4.608 -1.549
Al Er Ti Pa
1 1 1 1
Direct
0.500 0.500 0.500
0.750 0.750 0.750
0.250 0.250 0.250
0.000 0.000 0.000

Entry 3:
Ba2CaTa, relaxed, DFT PBE-GGA; ΔH_f (0 K) = 1.094 eV per atom; space group = I-42d (122); energy above the most stable polymorph in this dataset = 6.70 kcal/mol of atoms; Fermi-level density of states = 6.41 states/eV per cell
1.0
9.656 0.000 0.000
0.000 9.656 0.000
4.828 4.828 3.510
Ta Ca Ba
2 2 4
Direct
0.750 0.250 0.500
0.000 0.000 0.000
0.250 0.750 0.500
0.500 0.500 0.000
0.661 0.125 0.250
0.375 0.339 0.750
0.089 0.625 0.250
0.875 0.911 0.750

Entry 4:
MgFe3Ru, relaxed, DFT PBE-GGA; ΔH_f (0 K) = 1.143 eV per atom; space group = Pm-3m (221); energy above the most stable polymorph in this dataset = 0.00 kcal/mol of atoms; Fermi-level density of states = 7.40 states/eV per cell
1.0
4.591 0.000 0.000
0.000 4.591 0.000
0.000 0.000 4.591
Fe Ru Mg
3 1 1
Direct
0.000 0.500 0.000
0.000 0.000 0.500
0.500 0.000 0.000
0.000 0.000 0.000
0.500 0.500 0.500

Entry 5:
LaPr3Th4S8, relaxed, DFT PBE-GGA; raw formation energy = -187.7 kJ/mol of atoms; space group = R-3m (166); Fermi-level density of states = 6.21 states/eV per cell
1.0
8.109 0.000 0.000
0.000 8.196 0.058
-4.055 -4.048 5.735
Th S Pr La
4 8 3 1
Direct
0.500 0.000 0.000
0.500 0.000 0.500
0.000 0.000 0.000
0.000 0.000 0.500
0.751 0.753 0.502
0.249 0.247 0.498
0.748 0.246 0.998
0.250 0.246 0.998
0.748 0.246 0.496
0.252 0.754 0.002
0.750 0.754 0.002
0.252 0.754 0.504
0.500 0.500 0.500
0.000 0.500 0.500
0.500 0.500 0.000
0.000 0.500 0.000

Entry 6:
ZrHgO, relaxed, DFT PBE-GGA; raw formation energy = -137.5 kJ/mol of atoms; space group = P-3m1 (164); Fermi-level density of states = 3.72 states/eV per cell
1.0
-3.291 -0.480 -1.533
3.027 -0.258 -2.044
0.545 -10.567 2.140
Hg Zr O
2 2 2
Direct
0.667 0.333 0.886
0.333 0.667 0.114
0.333 0.667 0.394
0.667 0.333 0.606
0.333 0.667 0.614
0.667 0.333 0.386

Entry 7:
Nd2ErGa, relaxed, DFT PBE-GGA; ΔH_f (0 K) = -0.140 eV per atom; space group = R3m (160); energy above the most stable polymorph in this dataset = 2.70 kcal/mol of atoms; Fermi-level density of states = 5.12 states/eV per cell
1.0
3.704 0.000 0.000
1.852 3.208 0.000
1.852 1.069 10.414
Ga Nd Er
1 2 1
Direct
0.666 0.666 0.001
0.261 0.261 0.216
0.072 0.072 0.783
0.500 0.500 0.500

Entry 8:
LiTl3Ag, relaxed, DFT PBE-GGA; ΔH_f (0 K) = 0.239 eV per atom; space group = Pm-3m (221); energy above the most stable polymorph in this dataset = 0.00 kcal/mol of atoms; Fermi-level density of states = 2.24 states/eV per cell
1.0
5.129 0.000 0.000
0.000 5.129 0.000
0.000 0.000 5.129
Ag Tl Li
1 3 1
Direct
0.500 0.500 0.500
0.500 0.000 0.000
0.000 0.500 0.000
0.000 0.000 0.500
0.000 0.000 0.000

Entry 9:
K2CaTc, relaxed, DFT PBE-GGA; ΔH_f (0 K) = 1.217 eV per atom; space group = P4/mmm (123); energy above the most stable polymorph in this dataset = 9.39 kcal/mol of atoms; Fermi-level density of states = 5.28 states/eV per cell
1.0
-4.109 2.250 -0.036
-1.036 -1.958 -4.128
-3.102 -5.609 3.438
Ca K Tc
1 2 1
Direct
0.500 0.500 0.750
0.000 0.000 0.034
0.000 0.000 0.466
0.500 0.500 0.250

Entry 10:
Er4Th3, relaxed, DFT PBE-GGA; ΔH_f (0 K) = 0.148 eV per atom; space group = C2/m (12); energy above the most stable polymorph in this dataset = 2.71 kcal/mol of atoms; Fermi-level density of states = 10.62 states/eV per cell
1.0
-1.293 -2.784 -1.573
5.823 0.851 -6.293
2.316 -3.452 7.986
Er Th
4 3
Direct
0.364 0.130 0.728
0.636 0.870 0.272
0.919 0.541 0.839
0.081 0.459 0.161
0.000 0.000 0.000
0.219 0.298 0.437
0.781 0.702 0.563

Entry 11:
KSr2CoAg, relaxed, DFT PBE-GGA; ΔH_f (0 K) = 0.307 eV per atom; space group = P4/mmm (123); Fermi-level density of states = 5.75 states/eV per cell
1.0
-1.919 2.756 4.708
-4.797 0.063 -1.992
-1.114 -5.084 2.521
K Co Ag Sr
1 1 1 2
Direct
0.500 0.500 0.500
0.000 0.000 0.000
0.000 0.500 0.000
0.500 0.000 0.000
0.000 0.000 0.500

Entry 12:
CuHgAs2, relaxed, DFT PBE-GGA; ΔH_f (0 K) = 0.161 eV per atom; space group = Cm (8); Fermi-level density of states = 1.01 states/eV per cell
1.0
-2.738 3.249 -1.332
-4.290 1.194 -0.001
0.605 3.557 6.199
As Cu Hg
2 1 1
Direct
0.864 0.864 0.674
0.894 0.894 0.010
0.590 0.590 0.570
0.153 0.153 0.247